Record 1
Here is LiTl2CuCl4 after structural relaxation from the Alexandria database. Energies are from PBE.

Summary:
symmetry: Fddd, No. 70
volume: 26.8 Å³ per atom
E_form (uncorrected): -1.04 eV per atom

Cell: 5.5203 7.1819 12.0191 Å, 84.94 76.72 67.40°
With the nearest neighbours (Å) after each atom.
Atoms (fractional coordinates):
Li 0.7500 0.5000 0.5000  4 Cl 2.33
Li 0.0000 0.0000 0.0000  4 Cl 2.33
Tl 0.1796 0.0000 0.6409  8 Cl 3.36-3.54
Tl 0.8204 0.0000 0.3591  8 Cl 3.36-3.54
Tl 0.5704 0.5000 0.8591  8 Cl 3.36-3.54
Tl 0.9296 0.5000 0.1409  8 Cl 3.36-3.54
Cu 0.2500 0.5000 0.5000  4 Cl 2.35
Cu 0.5000 0.0000 0.0000  4 Cl 2.35
Cl 0.2996 0.7875 0.1072  1 Li 2.33, 1 Cu 2.35
Cl 0.1943 0.2125 0.8928  1 Li 2.33, 1 Cu 2.35
Cl 0.9129 0.7875 0.8928  1 Li 2.33, 1 Cu 2.35
Cl 0.5933 0.2125 0.1072  1 Li 2.33, 1 Cu 2.35
Cl 0.4504 0.7125 0.3928  1 Li 2.33, 1 Cu 2.35
Cl 0.5557 0.2875 0.6072  1 Li 2.33, 1 Cu 2.35
Cl 0.8371 0.7125 0.6072  1 Li 2.33, 1 Cu 2.35
Cl 0.1567 0.2875 0.3928  1 Li 2.33, 1 Cu 2.35



Record 2
Here is LiTlCu2Cl6 after structural relaxation from the Alexandria database. Energies are from PBE.

Summary:
symmetry: C2/c, No. 15
volume: 28.0 Å³ per atom
E_form (uncorrected): -0.83 eV per atom

Cell: 8.7794 9.1370 9.1370 Å, 62.27 64.47 64.47°
With the nearest neighbours (Å) after each atom.
Atoms (fractional coordinates):
Li 0.2500 0.2481 0.7519  4 Cl 2.36-2.43
Li 0.7500 0.7519 0.2481  4 Cl 2.36-2.43
Tl 0.2500 0.8114 0.1886  6 Cl 3.21-3.38
Tl 0.7500 0.1886 0.8114  6 Cl 3.21-3.38
Cu 0.3269 0.8114 0.6650  4 Cl 2.19-2.35
Cu 0.1731 0.3350 0.1886  4 Cl 2.19-2.35
Cu 0.6731 0.1886 0.3350  4 Cl 2.19-2.35
Cu 0.8269 0.6650 0.8114  4 Cl 2.19-2.35
Cl 0.1778 0.9958 0.8059  1 Cu 2.21, 1 Li 2.43
Cl 0.3222 0.1941 0.0042  1 Cu 2.21, 1 Li 2.43
Cl 0.8222 0.0042 0.1941  1 Cu 2.21, 1 Li 2.43
Cl 0.6778 0.8059 0.9958  1 Cu 2.21, 1 Li 2.43
Cl 0.4669 0.7335 0.4365  1 Cu 2.19, 1 Li 2.36
Cl 0.0331 0.5635 0.2665  1 Cu 2.19, 1 Li 2.36
Cl 0.5331 0.2665 0.5635  1 Cu 2.19, 1 Li 2.36
Cl 0.9669 0.4365 0.7335  1 Cu 2.19, 1 Li 2.36
Cl 0.0723 0.7588 0.6987  2 Cu 2.30-2.35
Cl 0.4277 0.3013 0.2412  2 Cu 2.30-2.35
Cl 0.9277 0.2412 0.3013  2 Cu 2.30-2.35
Cl 0.5723 0.6987 0.7588  2 Cu 2.30-2.35